The following is a DFT calculation (PBE with a Hubbard U) of crystalline PaAlCoO6 at its relaxed geometry.

Lattice parameters (Å, degrees): 4.916 4.916 4.759 90.00 90.00 120.00
Fractional positions:
Pa  0.000  0.000  0.000
Al  0.333  0.667  0.500
Co  0.667  0.333  0.500
O  0.358  0.002  0.720
O  0.358  0.355  0.280
O  0.645  0.002  0.280
O  0.645  0.642  0.720
O  0.998  0.355  0.720
O  0.998  0.642  0.280

Calculated values
Crystal system: trigonal
DFT total energy in eV/atom: -7.79
Space group: P312 (149)
ρ in g cm⁻³: 6.9